The following is a GGA-PBE calculation of a relaxed Na2LiInHg6 crystal, from Alexandria.

Cell lengths 7.624, 7.624, 7.599 Å; angles 59.93, 59.93, 90.09 degrees
Element x y z (fractional)
Na  0.250  0.750  0.500
Na  0.750  0.250  0.500
Li  0.500  0.500  0.000
In  0.000  0.000  0.000
Hg  0.266  0.734  0.000
Hg  0.734  0.734  0.000
Hg  0.266  0.266  0.468
Hg  0.734  0.266  0.000
Hg  0.266  0.266  0.000
Hg  0.734  0.734  0.532

Space-group type ... No. 69
Fermi-level density of states ... 5.3 states/eV/f.u.
Energy of formation ... -33.7 meV per atom
Crystal system ... orthorhombic